No. 1
DFT (GGA-PBE) results for an optimized crystal structure of Cs2BPBr6.

Raw formation energy: -0.589 eV per atom
SG: I4/mmm (139)
Size of the total moment: 0.00 μB per formula unit
VASP energy: -2.972 eV per atom
Mass density: 3817 kg/m³

abc: 7.685 7.685 7.685
angles: 114.39 114.39 100.03
Element x y z (fractional)
Cs  0.250  0.750  0.500
Cs  0.750  0.250  0.500
B  0.000  0.000  0.000
P  0.500  0.500  0.000
Br  0.191  0.191  0.000
Br  0.276  0.276  0.553
Br  0.276  0.724  0.000
Br  0.724  0.276  0.000
Br  0.724  0.724  0.447
Br  0.809  0.809  0.000

No. 2
DFT (GGA-PBE) results for an optimized crystal structure of Fe2HAu.

Offset from the most stable computed form: 0 meV per atom
SG: R3m (160)
Size of the total moment: 5.23 μB per formula unit
VASP energy: -5.747 eV per atom
Mass density: 11428 kg/m³

abc: 6.468 6.468 6.468
angles: 25.76 25.76 25.76
Element x y z (fractional)
Fe  0.000  0.000  0.000
Fe  0.237  0.237  0.237
H  0.621  0.621  0.621
Au  0.453  0.453  0.453

No. 3
DFT (GGA-PBE) results for an optimized crystal structure of ZrReTe2.

Raw formation energy: 0.599 eV per atom
Offset from the most stable computed form: 816 meV per atom
SG: F-43m (216)
Size of the total moment: 0.56 μB per formula unit
VASP energy: -6.221 eV per atom
Mass density: 10158 kg/m³

abc: 4.975 4.975 4.975
angles: 60.00 60.00 60.00
Element x y z (fractional)
Zr  0.000  0.000  0.000
Re  0.750  0.750  0.750
Te  0.250  0.250  0.250
Te  0.500  0.500  0.500

No. 4
DFT (GGA-PBE) results for an optimized crystal structure of Cu2HgF6.

Raw formation energy: -1.423 eV per atom
Offset from the most stable computed form: 35 meV per atom
SG: R3 (146)
Size of the total moment: 2.00 μB per formula unit
VASP energy: -3.614 eV per atom
Mass density: 5497 kg/m³

abc: 6.108 6.108 6.108
angles: 52.66 52.66 52.66
Element x y z (fractional)
Cu  0.000  0.000  0.000
Cu  0.319  0.319  0.319
Hg  0.808  0.808  0.808
F  0.096  0.721  0.371
F  0.194  0.599  0.969
F  0.371  0.096  0.721
F  0.599  0.969  0.194
F  0.721  0.371  0.096
F  0.969  0.194  0.599

No. 5
DFT (GGA-PBE) results for an optimized crystal structure of UAl2Os.

E_form: -0.226 eV per atom
SG: P4/mmm (123)
Size of the total moment: 2.56 μB per formula unit
VASP energy: -7.726 eV per atom
Mass density: 11702 kg/m³

abc: 3.015 3.015 7.528
angles: 90.00 90.00 90.00
Element x y z (fractional)
U  0.000  0.000  0.000
Al  0.500  0.500  0.309
Al  0.500  0.500  0.691
Os  0.000  0.000  0.500

No. 6
DFT (GGA-PBE) results for an optimized crystal structure of Pm2ScNi3Ge4.

E_form: -0.707 eV per atom
SG: P-4m2 (115)
Size of the total moment: 0.00 μB per formula unit
VASP energy: -5.872 eV per atom
Mass density: 7326 kg/m³

abc: 4.133 4.133 10.637
angles: 90.00 90.00 90.00
Element x y z (fractional)
Pm  0.000  0.500  0.230
Pm  0.500  0.000  0.770
Sc  0.000  0.000  0.500
Ni  0.000  0.500  0.884
Ni  0.500  0.000  0.116
Ni  0.500  0.500  0.500
Ge  0.000  0.000  0.000
Ge  0.000  0.500  0.659
Ge  0.500  0.000  0.341
Ge  0.500  0.500  0.000

No. 7
DFT (GGA-PBE) results for an optimized crystal structure of ThNpSi2O8.

Raw formation energy: -3.099 eV per atom
SG: I-4m2 (119)
Size of the total moment: 3.00 μB per formula unit
VASP energy: -9.005 eV per atom
Mass density: 6791 kg/m³

abc: 5.938 5.938 5.938
angles: 106.41 106.41 115.79
Element x y z (fractional)
Th  0.000  0.000  0.000
Np  0.250  0.750  0.500
Si  0.500  0.500  0.000
Si  0.750  0.250  0.500
O  0.334  0.154  0.820
O  0.334  0.514  0.180
O  0.404  0.080  0.324
O  0.486  0.666  0.820
O  0.755  0.080  0.676
O  0.846  0.666  0.180
O  0.920  0.245  0.324
O  0.920  0.596  0.676

No. 8
DFT (GGA-PBE) results for an optimized crystal structure of MnSbS2Cl.

Raw formation energy: -0.572 eV per atom
Offset from the most stable computed form: 0 meV per atom
SG: Pnma (62)
Size of the total moment: 5.00 μB per formula unit
VASP energy: -5.251 eV per atom
Mass density: 4041 kg/m³

abc: 9.528 3.824 12.465
angles: 90.00 90.00 90.00
Element x y z (fractional)
Mn  0.002  0.250  0.239
Mn  0.498  0.750  0.739
Mn  0.502  0.250  0.261
Mn  0.998  0.750  0.761
Sb  0.189  0.250  0.538
Sb  0.311  0.750  0.038
Sb  0.689  0.250  0.962
Sb  0.811  0.750  0.462
S  0.054  0.750  0.385
S  0.242  0.750  0.677
S  0.258  0.250  0.177
S  0.446  0.250  0.885
S  0.554  0.750  0.115
S  0.742  0.750  0.823
S  0.758  0.250  0.323
S  0.946  0.250  0.615
Cl  0.057  0.250  0.882
Cl  0.443  0.750  0.382
Cl  0.557  0.250  0.618
Cl  0.943  0.750  0.118

No. 9
DFT (GGA-PBE) results for an optimized crystal structure of La2TbNd4Sm.

E_form: 0.019 eV per atom
SG: P2/m (10)
Size of the total moment: 0.00 μB per formula unit
VASP energy: -4.765 eV per atom
Mass density: 6865 kg/m³

abc: 5.189 5.198 10.437
angles: 90.00 90.15 90.00
Element x y z (fractional)
La  0.000  0.000  0.000
La  0.500  0.500  0.500
Tb  0.000  0.000  0.500
Nd  0.000  0.500  0.251
Nd  0.000  0.500  0.749
Nd  0.499  0.000  0.749
Nd  0.501  0.000  0.251
Sm  0.500  0.500  0.000

No. 10
DFT (GGA-PBE) results for an optimized crystal structure of CsK2CdGa.

E_form: 0.086 eV per atom
Offset from the most stable computed form: 36 meV per atom
SG: P4/mmm (123)
Size of the total moment: 0.00 μB per formula unit
VASP energy: -1.312 eV per atom
Mass density: 2543 kg/m³

abc: 6.879 6.879 5.428
angles: 90.00 90.00 90.00
Element x y z (fractional)
Cs  0.000  0.000  0.000
K  0.000  0.500  0.500
K  0.500  0.000  0.500
Cd  0.500  0.500  0.500
Ga  0.500  0.500  0.000

No. 11
DFT (GGA-PBE) results for an optimized crystal structure of BeMoPt.

E_form: -0.020 eV per atom
Offset from the most stable computed form: 386 meV per atom
SG: P3m1 (156)
Size of the total moment: 0.00 μB per formula unit
VASP energy: -6.886 eV per atom
Mass density: 12079 kg/m³

abc: 2.770 2.770 6.206
angles: 90.00 90.00 120.00
Element x y z (fractional)
Be  0.000  0.000  0.000
Mo  0.333  0.667  0.332
Pt  0.667  0.333  0.705

No. 12
DFT (GGA-PBE) results for an optimized crystal structure of Dy4Er3Se8.

Raw formation energy: -1.814 eV per atom
SG: C2/m (12)
Size of the total moment: 0.00 μB per formula unit
VASP energy: -5.812 eV per atom
Mass density: 7920 kg/m³

abc: 8.086 8.086 8.084
angles: 119.98 119.98 90.01
Element x y z (fractional)
Dy  0.000  0.000  0.000
Dy  0.000  0.500  0.000
Dy  0.500  0.000  0.000
Dy  0.500  0.500  0.500
Er  0.000  0.500  0.500
Er  0.500  0.000  0.500
Er  0.500  0.500  0.000
Se  0.246  0.754  0.500
Se  0.247  0.247  0.502
Se  0.247  0.247  0.992
Se  0.251  0.749  0.000
Se  0.749  0.251  0.000
Se  0.753  0.753  0.008
Se  0.753  0.753  0.498
Se  0.754  0.246  0.500